Compound: Tl2TeOs
Source: Alexandria
Functional: PBE
Structure: relaxed

Cell and atoms, written as POSCAR:
```
Tl2TeOs
1.0
-1.201 -3.087 2.022
0.226 -3.752 -0.966
8.172 -1.200 4.170
Os Te Tl
1 1 2
Cartesian
3.506 -3.851 2.532
2.540 -1.665 1.583
7.937 -1.606 4.148
4.985 -6.135 3.746
```

The calculation puts the density of states at the Fermi level at 1.8 states/eV per cell. The value obtained for the formation energy (no corrections) is 0.399 eV per atom. Its calculated total energy is -17.5 eV/cell.